A:
Compound: ErSi2Ni4
Source: Alexandria
Functional: GGA-PBE
Structure: relaxed

Results
space group	P4_2/mnm (136)
size of the total moment	0.000	μB per atom

a = 3.626 Å, b = 7.191 Å, c = 7.191 Å
α = 90.00°, β = 90.00°, γ = 90.00°
Element x y z (fractional)
Ni  0.500  0.583  0.164
Ni  0.000  0.336  0.083
Ni  0.500  0.417  0.836
Ni  0.000  0.664  0.917
Ni  0.500  0.164  0.583
Ni  0.000  0.917  0.664
Ni  0.500  0.836  0.417
Ni  0.000  0.083  0.336
Si  0.000  0.778  0.222
Si  0.500  0.722  0.722
Si  0.500  0.278  0.278
Si  0.000  0.222  0.778
Er  0.000  0.500  0.500
Er  0.500  0.000  0.000

***

B:
Compound: ErSi2Ni4
Source: Alexandria
Functional: GGA-PBE
Structure: relaxed

Results
space group	Pnma (62)
size of the total moment	0.000	μB per atom

a = 3.934 Å, b = 6.048 Å, c = 15.912 Å
α = 90.00°, β = 90.00°, γ = 90.00°
Element x y z (fractional)
Ni  0.250  0.220  0.197
Ni  0.250  0.818  0.188
Ni  0.250  0.494  0.427
Ni  0.750  0.182  0.812
Ni  0.250  0.146  0.526
Ni  0.750  0.318  0.312
Ni  0.250  0.280  0.697
Ni  0.750  0.646  0.974
Ni  0.750  0.854  0.474
Ni  0.250  0.006  0.927
Ni  0.250  0.682  0.688
Ni  0.750  0.780  0.803
Ni  0.750  0.506  0.573
Ni  0.750  0.994  0.073
Ni  0.250  0.354  0.026
Ni  0.750  0.720  0.303
Si  0.750  0.478  0.718
Si  0.250  0.978  0.782
Si  0.750  0.261  0.459
Si  0.250  0.522  0.282
Si  0.750  0.239  0.959
Si  0.250  0.761  0.041
Si  0.250  0.739  0.541
Si  0.750  0.022  0.218
Er  0.250  0.006  0.360
Er  0.750  0.506  0.140
Er  0.750  0.994  0.640
Er  0.250  0.494  0.860

***

Order from most stable to least stable according to the calculation: A, B

***

A:
Compound: Er2SiNi
Source: Alexandria
Functional: GGA-PBE
Structure: relaxed

Results
space group	Fm-3m (225)
size of the total moment	0.000	μB per atom

a = 4.836 Å, b = 4.836 Å, c = 4.836 Å
α = 60.00°, β = 60.00°, γ = 60.00°
Element x y z (fractional)
Er  0.250  0.250  0.250
Er  0.750  0.750  0.750
Ni  0.500  0.500  0.500
Si  0.000  0.000  0.000

***

B:
Compound: Er2SiNi
Source: Alexandria
Functional: GGA-PBE
Structure: relaxed

Results
space group	P4/mmm (123)
size of the total moment	0.000	μB per atom

a = 3.555 Å, b = 4.742 Å, c = 4.742 Å
α = 90.00°, β = 90.00°, γ = 90.00°
Element x y z (fractional)
Ni  0.500  0.500  0.500
Er  0.000  0.500  0.000
Er  0.000  0.000  0.500
Si  0.500  0.000  0.000

***

Order from most stable to least stable according to the calculation: A, B

***

A:
Compound: Er2SiNi
Source: Alexandria
Functional: GGA-PBE
Structure: relaxed

Results
space group	P2_1/m (11)
size of the total moment	0.000	μB per atom

a = 4.064 Å, b = 5.704 Å, c = 7.646 Å
α = 110.48°, β = 90.00°, γ = 90.00°
Element x y z (fractional)
Ni  0.750  0.614  0.780
Ni  0.250  0.386  0.220
Si  0.750  0.657  0.290
Si  0.250  0.343  0.710
Er  0.750  0.222  0.413
Er  0.250  0.780  0.057
Er  0.250  0.778  0.587
Er  0.750  0.220  0.943

***

B:
Compound: Er2SiNi
Source: Alexandria
Functional: GGA-PBE
Structure: relaxed

Results
space group	R-3m (166)
size of the total moment	0.000	μB per atom

a = 3.749 Å, b = 3.749 Å, c = 7.576 Å
α = 75.67°, β = 75.67°, γ = 60.00°
Element x y z (fractional)
Er  0.744  0.744  0.767
Er  0.256  0.256  0.233
Si  0.500  0.500  0.500
Ni  0.000  0.000  0.000

***

Order from most stable to least stable according to the calculation: A, B

***

A:
Compound: ErSiNi3
Source: Alexandria
Functional: GGA-PBE
Structure: relaxed

Results
space group	I4mm (107)
size of the total moment	0.000	μB per atom

a = 5.722 Å, b = 5.722 Å, c = 5.722 Å
α = 141.46°, β = 141.46°, γ = 55.65°
Element x y z (fractional)
Er  0.012  0.012  0.000
Ni  0.601  0.601  0.000
Ni  0.254  0.754  0.500
Ni  0.754  0.254  0.500
Si  0.380  0.380  0.000

***

B:
Compound: ErSiNi3
Source: Alexandria
Functional: GGA-PBE
Structure: relaxed

Results
space group	I-4m2 (119)
size of the total moment	0.000	μB per atom

a = 4.789 Å, b = 4.789 Å, c = 8.178 Å
α = 107.02°, β = 107.02°, γ = 90.00°
Element x y z (fractional)
Ni  0.619  0.878  0.756
Ni  0.270  0.270  0.540
Ni  0.137  0.878  0.756
Ni  0.122  0.863  0.244
Ni  0.730  0.730  0.460
Ni  0.122  0.381  0.244
Er  0.885  0.385  0.771
Er  0.615  0.115  0.229
Si  0.250  0.750  0.500
Si  0.000  0.000  0.000

***

C:
Compound: ErSiNi3
Source: Alexandria
Functional: GGA-PBE
Structure: relaxed

Results
space group	P6_3/mmc (194)
size of the total moment	0.000	μB per atom

a = 5.668 Å, b = 5.668 Å, c = 10.829 Å
α = 90.00°, β = 90.00°, γ = 120.00°
Element x y z (fractional)
Ni  0.000  0.500  0.000
Ni  0.724  0.862  0.750
Ni  0.862  0.138  0.250
Ni  0.500  0.000  0.500
Ni  0.500  0.000  0.000
Ni  0.000  0.500  0.500
Ni  0.862  0.724  0.250
Ni  0.500  0.500  0.000
Ni  0.276  0.138  0.250
Ni  0.138  0.862  0.750
Ni  0.138  0.276  0.750
Ni  0.500  0.500  0.500
Er  0.000  0.000  0.000
Er  0.667  0.333  0.750
Er  0.333  0.667  0.250
Er  0.000  0.000  0.500
Si  0.667  0.333  0.361
Si  0.333  0.667  0.861
Si  0.667  0.333  0.139
Si  0.333  0.667  0.639

***

Order from most stable to least stable according to the calculation: A, C, B

***

A:
Compound: ErTmSiNi
Source: Alexandria
Functional: GGA-PBE
Structure: relaxed

Results
space group	Amm2 (38)
size of the total moment	0.000	μB per atom

a = 3.925 Å, b = 4.017 Å, c = 5.565 Å
α = 90.00°, β = 110.65°, γ = 90.00°
Element x y z (fractional)
Ni  0.431  0.000  0.863
Tm  0.859  0.500  0.718
Er  0.141  0.000  0.283
Si  0.568  0.500  0.136

***

B:
Compound: ErTmSiNi
Source: Alexandria
Functional: GGA-PBE
Structure: relaxed

Results
space group	F-43m (216)
size of the total moment	0.000	μB per atom

a = 4.822 Å, b = 4.822 Å, c = 4.822 Å
α = 60.00°, β = 60.00°, γ = 60.00°
Element x y z (fractional)
Er  0.000  0.000  0.000
Tm  0.500  0.500  0.500
Ni  0.750  0.750  0.750
Si  0.250  0.250  0.250

***

Order from most stable to least stable according to the calculation: A, B

***

A:
Compound: YErSiNi
Source: Alexandria
Functional: GGA-PBE
Structure: relaxed

Results
space group	Amm2 (38)
size of the total moment	0.000	μB per atom

a = 3.970 Å, b = 4.026 Å, c = 5.634 Å
α = 90.00°, β = 110.63°, γ = 90.00°
Element x y z (fractional)
Er  0.860  0.500  0.720
Ni  0.432  0.000  0.863
Si  0.567  0.500  0.134
Y  0.142  0.000  0.283

***

B:
Compound: YErSiNi
Source: Alexandria
Functional: GGA-PBE
Structure: relaxed

Results
space group	F-43m (216)
size of the total moment	0.000	μB per atom

a = 4.867 Å, b = 4.867 Å, c = 4.867 Å
α = 60.00°, β = 60.00°, γ = 60.00°
Element x y z (fractional)
Si  0.750  0.750  0.750
Y  0.000  0.000  0.000
Ni  0.250  0.250  0.250
Er  0.500  0.500  0.500

***

Order from most stable to least stable according to the calculation: A, B